# CeDy2Zn2Rh5

A relaxed CeDy2Zn2Rh5 crystal (PBE, the Alexandria database).

Computed properties:
Symmetry = P4/mbm, No. 127
Energy of formation = -7.2 eV per formula unit
D(E_F) = 0.571 states/eV per atom
Total DFT energy (no corrections) = -6.165 eV/atom
Size of the total moment = 0.0 μB/f.u.

Cell and atoms, written as CIF:
```
data_CeDy2Zn2Rh5
_chemical_formula_sum 'Ce2 Dy4 Zn4 Rh10'
_cell_length_a 3.697
_cell_length_b 9.826
_cell_length_c 9.826
_cell_angle_alpha 90.00
_cell_angle_beta 90.00
_cell_angle_gamma 90.00
_symmetry_space_group_name_H-M 'P 1'
_symmetry_Int_Tables_number 1
loop_
_symmetry_equiv_pos_as_xyz
'x,y,z'
loop_
_atom_site_label
_atom_site_type_symbol
_atom_site_fract_x
_atom_site_fract_y
_atom_site_fract_z
Ce1 Ce 0.000 0.000 0.000
Ce2 Ce 0.000 0.500 0.500
Dy1 Dy 0.000 0.831 0.669
Dy2 Dy 0.000 0.669 0.169
Dy3 Dy 0.000 0.169 0.331
Dy4 Dy 0.000 0.331 0.831
Rh1 Rh 0.500 0.205 0.071
Rh2 Rh 0.500 0.571 0.705
Rh3 Rh 0.500 0.429 0.295
Rh4 Rh 0.500 0.071 0.795
Rh5 Rh 0.500 0.929 0.205
Rh6 Rh 0.500 0.500 0.000
Rh7 Rh 0.500 0.705 0.429
Rh8 Rh 0.500 0.000 0.500
Rh9 Rh 0.500 0.295 0.571
Rh10 Rh 0.500 0.795 0.929
Zn1 Zn 0.000 0.625 0.875
Zn2 Zn 0.000 0.875 0.375
Zn3 Zn 0.000 0.125 0.625
Zn4 Zn 0.000 0.375 0.125
```

---

# CeDyZnRh

A relaxed CeDyZnRh crystal (PBE, the Alexandria database).

Computed properties:
Symmetry = F-43m, No. 216
Energy of formation = -2.0 eV per formula unit
D(E_F) = 1.604 states/eV per atom
Total DFT energy (no corrections) = -5.281 eV/atom
Size of the total moment = 0.7 μB/f.u.

Cell and atoms, written as CIF:
```
data_CeDyZnRh
_chemical_formula_sum 'Ce1 Dy1 Zn1 Rh1'
_cell_length_a 4.988
_cell_length_b 4.988
_cell_length_c 4.988
_cell_angle_alpha 60.00
_cell_angle_beta 60.00
_cell_angle_gamma 60.00
_symmetry_space_group_name_H-M 'P 1'
_symmetry_Int_Tables_number 1
loop_
_symmetry_equiv_pos_as_xyz
'x,y,z'
loop_
_atom_site_label
_atom_site_type_symbol
_atom_site_fract_x
_atom_site_fract_y
_atom_site_fract_z
Ce1 Ce 0.250 0.250 0.250
Dy1 Dy 0.750 0.750 0.750
Zn1 Zn 0.000 0.000 0.000
Rh1 Rh 0.500 0.500 0.500
```

---

# CeDy3Ru3

A relaxed CeDy3Ru3 crystal (PBE, the Alexandria database).

Computed properties:
Symmetry = C2/m, No. 12
Energy of formation = -2.2 eV per formula unit
D(E_F) = 0.717 states/eV per atom
Total DFT energy (no corrections) = -7.106 eV/atom
Size of the total moment = 0.0 μB/f.u.

Cell and atoms, written as CIF:
```
data_CeDy3Ru3
_chemical_formula_sum 'Ce2 Dy6 Ru6'
_cell_length_a 6.870
_cell_length_b 6.870
_cell_length_c 6.754
_cell_angle_alpha 90.91
_cell_angle_beta 90.91
_cell_angle_gamma 89.77
_symmetry_space_group_name_H-M 'P 1'
_symmetry_Int_Tables_number 1
loop_
_symmetry_equiv_pos_as_xyz
'x,y,z'
loop_
_atom_site_label
_atom_site_type_symbol
_atom_site_fract_x
_atom_site_fract_y
_atom_site_fract_z
Ru1 Ru 0.496 0.009 0.254
Ru2 Ru 0.991 0.504 0.746
Ru3 Ru 0.931 0.931 0.190
Ru4 Ru 0.069 0.069 0.810
Ru5 Ru 0.504 0.991 0.746
Ru6 Ru 0.009 0.496 0.254
Dy1 Dy 0.683 0.683 0.416
Dy2 Dy 0.729 0.271 0.000
Dy3 Dy 0.271 0.729 0.000
Dy4 Dy 0.184 0.816 0.500
Dy5 Dy 0.317 0.317 0.584
Dy6 Dy 0.816 0.184 0.500
Ce1 Ce 0.232 0.232 0.104
Ce2 Ce 0.768 0.768 0.896
```

---

# Ce2DyRu

A relaxed Ce2DyRu crystal (PBE, the Alexandria database).

Computed properties:
Symmetry = R-3m, No. 166
Energy of formation = 0.3 eV per formula unit
D(E_F) = 2.206 states/eV per atom
Total DFT energy (no corrections) = -6.351 eV/atom
Size of the total moment = 0.0 μB/f.u.

Cell and atoms, written as CIF:
```
data_Ce2DyRu
_chemical_formula_sum 'Ce2 Dy1 Ru1'
_cell_length_a 4.780
_cell_length_b 4.780
_cell_length_c 5.636
_cell_angle_alpha 64.91
_cell_angle_beta 64.91
_cell_angle_gamma 60.00
_symmetry_space_group_name_H-M 'P 1'
_symmetry_Int_Tables_number 1
loop_
_symmetry_equiv_pos_as_xyz
'x,y,z'
loop_
_atom_site_label
_atom_site_type_symbol
_atom_site_fract_x
_atom_site_fract_y
_atom_site_fract_z
Dy1 Dy 0.500 0.500 0.500
Ce1 Ce 0.737 0.737 0.789
Ce2 Ce 0.263 0.263 0.211
Ru1 Ru 0.000 0.000 0.000
```

---

# Ce2DyRu2

A relaxed Ce2DyRu2 crystal (PBE, the Alexandria database).

Computed properties:
Symmetry = P-1, No. 2
Energy of formation = -1.5 eV per formula unit
D(E_F) = 1.274 states/eV per atom
Total DFT energy (no corrections) = -7.311 eV/atom
Size of the total moment = 0.0 μB/f.u.

Cell and atoms, written as CIF:
```
data_Ce2DyRu2
_chemical_formula_sum 'Ce4 Dy2 Ru4'
_cell_length_a 4.704
_cell_length_b 6.971
_cell_length_c 9.014
_cell_angle_alpha 84.68
_cell_angle_beta 64.27
_cell_angle_gamma 63.30
_symmetry_space_group_name_H-M 'P 1'
_symmetry_Int_Tables_number 1
loop_
_symmetry_equiv_pos_as_xyz
'x,y,z'
loop_
_atom_site_label
_atom_site_type_symbol
_atom_site_fract_x
_atom_site_fract_y
_atom_site_fract_z
Ce1 Ce 0.049 0.605 0.315
Ce2 Ce 0.951 0.395 0.685
Ce3 Ce 0.858 0.282 0.085
Ce4 Ce 0.142 0.718 0.915
Dy1 Dy 0.687 0.963 0.672
Dy2 Dy 0.313 0.037 0.328
Ru1 Ru 0.524 0.314 0.459
Ru2 Ru 0.476 0.686 0.541
Ru3 Ru 0.498 0.792 0.009
Ru4 Ru 0.502 0.208 0.991
```

---

# CeDyRu4

A relaxed CeDyRu4 crystal (PBE, the Alexandria database).

Computed properties:
Symmetry = F-43m, No. 216
Energy of formation = -1.7 eV per formula unit
D(E_F) = 0.798 states/eV per atom
Total DFT energy (no corrections) = -8.221 eV/atom
Size of the total moment = 0.0 μB/f.u.

Cell and atoms, written as CIF:
```
data_CeDyRu4
_chemical_formula_sum 'Ce1 Dy1 Ru4'
_cell_length_a 5.352
_cell_length_b 5.352
_cell_length_c 5.352
_cell_angle_alpha 60.00
_cell_angle_beta 60.00
_cell_angle_gamma 60.00
_symmetry_space_group_name_H-M 'P 1'
_symmetry_Int_Tables_number 1
loop_
_symmetry_equiv_pos_as_xyz
'x,y,z'
loop_
_atom_site_label
_atom_site_type_symbol
_atom_site_fract_x
_atom_site_fract_y
_atom_site_fract_z
Ru1 Ru 0.625 0.125 0.625
Ru2 Ru 0.625 0.625 0.625
Ru3 Ru 0.125 0.625 0.625
Ru4 Ru 0.625 0.625 0.125
Ce1 Ce 0.000 0.000 0.000
Dy1 Dy 0.250 0.250 0.250
```

---

# CeDy2Ru3

A relaxed CeDy2Ru3 crystal (PBE, the Alexandria database).

Computed properties:
Symmetry = C2/c, No. 15
Energy of formation = -1.5 eV per formula unit
D(E_F) = 0.608 states/eV per atom
Total DFT energy (no corrections) = -7.406 eV/atom
Size of the total moment = 0.0 μB/f.u.

Cell and atoms, written as CIF:
```
data_CeDy2Ru3
_chemical_formula_sum 'Ce2 Dy4 Ru6'
_cell_length_a 5.673
_cell_length_b 6.837
_cell_length_c 7.197
_cell_angle_alpha 104.06
_cell_angle_beta 113.21
_cell_angle_gamma 90.00
_symmetry_space_group_name_H-M 'P 1'
_symmetry_Int_Tables_number 1
loop_
_symmetry_equiv_pos_as_xyz
'x,y,z'
loop_
_atom_site_label
_atom_site_type_symbol
_atom_site_fract_x
_atom_site_fract_y
_atom_site_fract_z
Ru1 Ru 0.888 0.945 0.769
Ru2 Ru 0.119 0.555 0.231
Ru3 Ru 0.881 0.445 0.769
Ru4 Ru 0.304 0.750 0.000
Ru5 Ru 0.696 0.250 0.000
Ru6 Ru 0.112 0.055 0.231
Ce1 Ce 0.707 0.750 0.000
Ce2 Ce 0.293 0.250 0.000
Dy1 Dy 0.708 0.103 0.415
Dy2 Dy 0.292 0.897 0.585
Dy3 Dy 0.293 0.397 0.585
Dy4 Dy 0.707 0.603 0.415
```

---

# CeDy3Ru2

A relaxed CeDy3Ru2 crystal (PBE, the Alexandria database).

Computed properties:
Symmetry = Ibam, No. 72
Energy of formation = -2.1 eV per formula unit
D(E_F) = 0.962 states/eV per atom
Total DFT energy (no corrections) = -6.724 eV/atom
Size of the total moment = 0.2 μB/f.u.

Cell and atoms, written as CIF:
```
data_CeDy3Ru2
_chemical_formula_sum 'Ce2 Dy6 Ru4'
_cell_length_a 6.713
_cell_length_b 7.108
_cell_length_c 8.326
_cell_angle_alpha 115.27
_cell_angle_beta 113.77
_cell_angle_gamma 90.00
_symmetry_space_group_name_H-M 'P 1'
_symmetry_Int_Tables_number 1
loop_
_symmetry_equiv_pos_as_xyz
'x,y,z'
loop_
_atom_site_label
_atom_site_type_symbol
_atom_site_fract_x
_atom_site_fract_y
_atom_site_fract_z
Ru1 Ru 0.129 0.876 0.751
Ru2 Ru 0.623 0.376 0.751
Ru3 Ru 0.871 0.124 0.249
Ru4 Ru 0.377 0.624 0.249
Dy1 Dy 0.760 0.510 0.521
Dy2 Dy 0.760 0.010 0.521
Dy3 Dy 0.500 0.250 0.000
Dy4 Dy 0.240 0.490 0.479
Dy5 Dy 0.500 0.750 0.000
Dy6 Dy 0.240 0.990 0.479
Ce1 Ce 0.000 0.000 0.000
Ce2 Ce 0.000 0.500 0.000
```

---

# CeDy2Ru2

A relaxed CeDy2Ru2 crystal (PBE, the Alexandria database).

Computed properties:
Symmetry = Immm, No. 71
Energy of formation = -2.2 eV per formula unit
D(E_F) = 0.602 states/eV per atom
Total DFT energy (no corrections) = -7.169 eV/atom
Size of the total moment = 0.0 μB/f.u.

Cell and atoms, written as CIF:
```
data_CeDy2Ru2
_chemical_formula_sum 'Ce1 Dy2 Ru2'
_cell_length_a 4.181
_cell_length_b 5.849
_cell_length_c 5.849
_cell_angle_alpha 61.24
_cell_angle_beta 69.06
_cell_angle_gamma 69.06
_symmetry_space_group_name_H-M 'P 1'
_symmetry_Int_Tables_number 1
loop_
_symmetry_equiv_pos_as_xyz
'x,y,z'
loop_
_atom_site_label
_atom_site_type_symbol
_atom_site_fract_x
_atom_site_fract_y
_atom_site_fract_z
Dy1 Dy 0.309 0.191 0.691
Dy2 Dy 0.691 0.809 0.309
Ru1 Ru 0.000 0.241 0.259
Ru2 Ru 0.000 0.759 0.741
Ce1 Ce 0.500 0.500 0.000
```

---

# CeDy2Ru

A relaxed CeDy2Ru crystal (PBE, the Alexandria database).

Computed properties:
Symmetry = P4/mmm, No. 123
Energy of formation = -0.7 eV per formula unit
D(E_F) = 1.862 states/eV per atom
Total DFT energy (no corrections) = -6.267 eV/atom
Size of the total moment = 1.4 μB/f.u.

Cell and atoms, written as CIF:
```
data_CeDy2Ru
_chemical_formula_sum 'Ce1 Dy2 Ru1'
_cell_length_a 3.411
_cell_length_b 3.411
_cell_length_c 8.993
_cell_angle_alpha 90.00
_cell_angle_beta 90.00
_cell_angle_gamma 90.00
_symmetry_space_group_name_H-M 'P 1'
_symmetry_Int_Tables_number 1
loop_
_symmetry_equiv_pos_as_xyz
'x,y,z'
loop_
_atom_site_label
_atom_site_type_symbol
_atom_site_fract_x
_atom_site_fract_y
_atom_site_fract_z
Dy1 Dy 0.000 0.000 0.184
Dy2 Dy 0.000 0.000 0.816
Ce1 Ce 0.500 0.500 0.500
Ru1 Ru 0.500 0.500 0.000
```

---

# CeDy3Ru8

A relaxed CeDy3Ru8 crystal (PBE, the Alexandria database).

Computed properties:
Symmetry = R3m, No. 160
Energy of formation = -3.5 eV per formula unit
D(E_F) = 0.936 states/eV per atom
Total DFT energy (no corrections) = -8.122 eV/atom
Size of the total moment = 0.0 μB/f.u.

Cell and atoms, written as CIF:
```
data_CeDy3Ru8
_chemical_formula_sum 'Ce1 Dy3 Ru8'
_cell_length_a 5.334
_cell_length_b 5.334
_cell_length_c 9.295
_cell_angle_alpha 73.33
_cell_angle_beta 73.33
_cell_angle_gamma 60.00
_symmetry_space_group_name_H-M 'P 1'
_symmetry_Int_Tables_number 1
loop_
_symmetry_equiv_pos_as_xyz
'x,y,z'
loop_
_atom_site_label
_atom_site_type_symbol
_atom_site_fract_x
_atom_site_fract_y
_atom_site_fract_z
Ru1 Ru 0.187 0.187 0.438
Ru2 Ru 0.438 0.438 0.186
Ru3 Ru 0.938 0.435 0.689
Ru4 Ru 0.438 0.939 0.186
Ru5 Ru 0.435 0.938 0.689
Ru6 Ru 0.939 0.438 0.186
Ru7 Ru 0.688 0.688 0.937
Ru8 Ru 0.938 0.938 0.689
Dy1 Dy 0.000 0.000 0.000
Dy2 Dy 0.375 0.375 0.874
Dy3 Dy 0.500 0.500 0.501
Ce1 Ce 0.875 0.875 0.376
```